(1)
Here is a relaxed Tl2FeP crystal from the Alexandria database. Energies are from PBE-GGA.

Results
Magnetization, μB/atom: 0.761
Calculated formation energy, meV per atom: 702
DOS at the Fermi energy, states/eV/cell: 6.76
Total energy, Ha/atom: -0.145

a = 4.1664 Å, b = 4.1664 Å, c = 9.7553 Å
α = 90.00°, β = 90.00°, γ = 90.00°
Space group I-4m2 (No. 119)
Asymmetric unit:
1 Tl 0.0000 0.0000 0.0000 (multiplicity 2)
2 Tl 0.0000 0.5000 0.2500 (multiplicity 2)
3 Fe 0.0000 0.5000 0.7500 (multiplicity 2)
4 P 0.0000 0.0000 0.5000 (multiplicity 2)

(2)
Here is a relaxed Tl2FeP crystal from the Alexandria database. Energies are from PBE-GGA.

Results
Magnetization, μB/atom: 0.745
Calculated formation energy, meV per atom: 752
DOS at the Fermi energy, states/eV/cell: 4.44
Total energy, Ha/atom: -0.143

a = 3.1500 Å, b = 3.1500 Å, c = 8.4087 Å
α = 90.00°, β = 90.00°, γ = 90.00°
Space group P4/mmm (No. 123)
Asymmetric unit:
1 Tl 0.0000 0.0000 0.2362 (multiplicity 2)
2 Fe 0.5000 0.5000 0.0000 (multiplicity 1)
3 P 0.5000 0.5000 0.5000 (multiplicity 1)

DOS at the Fermi energy of number 2 (Tl2FeP)? 4.44 states/eV/cell

The highest total energy belongs to which entry? number 2

Among the records above, which one has the highest total energy? number 2

Copy entry 1 word for word.
Here is a relaxed Tl2FeP crystal from the Alexandria database. Energies are from PBE-GGA.

Results
Magnetization, μB/atom: 0.761
Calculated formation energy, meV per atom: 702
DOS at the Fermi energy, states/eV/cell: 6.76
Total energy, Ha/atom: -0.145

a = 4.1664 Å, b = 4.1664 Å, c = 9.7553 Å
α = 90.00°, β = 90.00°, γ = 90.00°
Space group I-4m2 (No. 119)
Asymmetric unit:
1 Tl 0.0000 0.0000 0.0000 (multiplicity 2)
2 Tl 0.0000 0.5000 0.2500 (multiplicity 2)
3 Fe 0.0000 0.5000 0.7500 (multiplicity 2)
4 P 0.0000 0.0000 0.5000 (multiplicity 2)